[1]
CsK2PSe4 PBE optimized geometry; V = 582.5 Å³ per cell; density of states at the Fermi level = 12.13 states/eV per cell; raw formation energy = -0.485 eV/atom
1.0
-6.283 5.181 -4.142
-7.538 -0.580 5.129
9.979 3.152 3.309
Cs K P Se
2 4 2 8
Direct
0.000 0.500 0.000
0.000 0.500 0.500
0.500 0.000 0.000
0.500 0.000 0.500
0.000 0.000 0.500
0.500 0.500 0.000
0.500 0.500 0.500
0.000 0.000 0.000
0.235 0.812 0.024
0.688 0.265 0.476
0.312 0.735 0.524
0.765 0.188 0.976
0.000 0.000 0.213
0.500 0.500 0.287
0.500 0.500 0.713
0.000 0.000 0.787

***

[2]
CaAcZnP PBE optimized geometry; calculated formation energy = -0.52 eV per atom; V = 102.4 Å³ per cell; density of states at the Fermi level = 4.50 states/eV per cell
1.0
-2.064 -4.750 0.865
2.230 -3.237 3.482
-2.411 -1.026 4.551
P Ac Ca Zn
1 1 1 1
Direct
0.250 0.250 0.250
0.500 0.500 0.500
0.000 0.000 0.000
0.750 0.750 0.750